Here is a relaxed DyMg2Ag crystal from the Alexandria database. Energies are from GGA-PBE.

Its formation energy is -153 meV/atom. The calculated density is 5.62 Mg/m³.

The structure belongs to space group Pmmn (No. 59, origin choice 2); the cell edges are 4.7134, 6.0191 and 6.6464 Å and the angles 90.00°, 90.00° and 90.00°. The asymmetric unit holds Dy at (0.2500, 0.2500, 0.0773), Mg at (0.2500, 0.9999, 0.6314) and Ag at (0.2500, 0.7500, 0.2419).